# 1
DFT (SCAN) results for TcOs2Pb at its PBEsol-relaxed geometry.

Properties
**SG**: No. 47
**Raw total energy**: -2.3104 hartree per atom
**ρ**: 17.415 g/cm3
**Density of states at the Fermi level**: 3.0 states/eV per cell
**DFT formation energy**: 3.13 eV/f.u.
**M_tot**: 0.69 μB/f.u.

a = 2.828 Å, b = 3.783 Å, c = 6.112 Å
α = 90.00°, β = 90.00°, γ = 90.00°
Element x y z (fractional)
1 Os 0.000 0.000 0.711
2 Os 0.000 0.000 0.289
3 Pb 0.500 0.500 0.000
4 Tc 0.500 0.500 0.500

---

# 2
DFT (SCAN) results for Te2OsPb at its PBEsol-relaxed geometry.

Properties
**SG**: No. 123
**Raw total energy**: -2.0080 hartree per atom
**ρ**: 12.076 g/cm3
**Density of states at the Fermi level**: 2.7 states/eV per cell
**M_tot**: 0.00 μB/f.u.

a = 3.371 Å, b = 5.160 Å, c = 5.160 Å
α = 90.00°, β = 90.00°, γ = 90.00°
Element x y z (fractional)
1 Os 0.500 0.500 0.500
2 Pb 0.500 0.000 0.000
3 Te 0.000 0.000 0.500
4 Te 0.000 0.500 0.000

---

# 3
DFT (SCAN) results for Tl2OsPb at its PBEsol-relaxed geometry.

Properties
**SG**: No. 99
**Raw total energy**: -2.6644 hartree per atom
**ρ**: 14.319 g/cm3
**Density of states at the Fermi level**: 2.4 states/eV per cell
**DFT formation energy**: 2.37 eV/f.u.
**M_tot**: 0.00 μB/f.u.

a = 3.239 Å, b = 3.239 Å, c = 8.910 Å
α = 90.00°, β = 90.00°, γ = 90.00°
Element x y z (fractional)
1 Os 0.000 0.000 0.498
2 Pb 0.500 0.500 0.690
3 Tl 0.000 0.000 0.010
4 Tl 0.500 0.500 0.302

---

Q: Look up the raw total energy of the first one.
A: -2.3104 hartree per atom

---

Q: Which value of M_tot does entry 1 give?
A: 0.69 μB/f.u.

---

Q: Among the records above, which one has the highest raw total energy?
A: Te2OsPb